Computed, not measured: a relaxed Hf2Sn2Bi crystal at the GGA-PBE level of DFT.

a = 8.8707 Å, b = 8.8707 Å, c = 3.1942 Å
α = 90.00°, β = 90.00°, γ = 90.00°
Last column: nearest neighbours and their distance in Å.
Space group P4/mbm (No. 127)
Unique sites:
1 Hf 0.1254 0.3746 0.0000 [4 per cell]  6 Sn 3.05-3.07, 3 Hf 3.15-3.19
2 Sn 0.1673 0.6673 0.5000 [4 per cell]  6 Hf 3.05-3.07, 2 Sn 3.19, 2 Bi 3.30
3 Bi 0.0000 0.0000 0.5000 [2 per cell]  2 Bi 3.19, 4 Sn 3.30

Summary:
**Uncorrected energy**: -6.391 eV per atom
**Magnetization**: 0.00 μB per atom